Entry 1:
# AlNi2W (PBEsol, optimized geometry)
data_AlNi2W
_chemical_formula_sum 'Al1 Ni2 W1'
_symmetry_space_group_name_H-M 'P m m m'
_symmetry_Int_Tables_number 47
_cell_length_a 2.759
_cell_length_b 4.202
_cell_length_c 4.399
_cell_angle_alpha 90.00
_cell_angle_beta 90.00
_cell_angle_gamma 90.00
loop_
_symmetry_equiv_pos_as_xyz
'x,y,z'
'-x,-y,-z'
'-x,-y,z'
'x,y,-z'
'x,-y,-z'
'-x,y,z'
'-x,y,-z'
'x,-y,z'
loop_
_atom_site_label
_atom_site_fract_x
_atom_site_fract_y
_atom_site_fract_z
Al1 0.000 0.000 0.000
Ni1 0.000 0.500 0.500
Ni2 0.500 0.500 0.000
W1 0.500 0.000 0.500
# **Energy of formation**: 0.034 eV per atom

=====

Entry 2:
# TiSeSN2 (PBEsol, optimized geometry)
data_TiSeSN2
_chemical_formula_sum 'Ti1 Se1 S1 N2'
_symmetry_space_group_name_H-M 'P 4/m m m'
_symmetry_Int_Tables_number 123
_symmetry_space_group_name_Hall '-P 4 2'
_cell_length_a 3.802
_cell_length_b 3.802
_cell_length_c 5.150
_cell_angle_alpha 90.00
_cell_angle_beta 90.00
_cell_angle_gamma 90.00
loop_
_atom_site_label
_atom_site_fract_x
_atom_site_fract_y
_atom_site_fract_z
Ti1 0.000 0.000 0.000
Se1 0.500 0.500 0.500
S1 0.000 0.000 0.500
N1 0.000 0.500 0.000
# **Distance to the lowest polymorph of the same formula**: 0.0 meV per atom

=====

Entry 3:
# La3ZrTl (PBEsol, optimized geometry)
data_La3ZrTl
_chemical_formula_sum 'La3 Zr1 Tl1'
_symmetry_space_group_name_H-M 'P m -3 m'
_symmetry_Int_Tables_number 221
_symmetry_space_group_name_Hall '-P 4 2 3'
_cell_length_a 5.539
_cell_length_b 5.539
_cell_length_c 5.539
_cell_angle_alpha 90.00
_cell_angle_beta 90.00
_cell_angle_gamma 90.00
loop_
_atom_site_label
_atom_site_fract_x
_atom_site_fract_y
_atom_site_fract_z
La1 0.000 0.000 0.500
Zr1 0.000 0.000 0.000
Tl1 0.500 0.500 0.500
# **Energy of formation**: 0.377 eV per atom

=====

Entry 4:
# Al2InGa2 (PBEsol, optimized geometry)
data_Al2InGa2
_chemical_formula_sum 'Al4 In2 Ga4'
_symmetry_space_group_name_H-M 'P 4/m b m'
_symmetry_Int_Tables_number 127
_symmetry_space_group_name_Hall '-P 4 2ab'
_cell_length_a 8.101
_cell_length_b 8.101
_cell_length_c 2.857
_cell_angle_alpha 90.00
_cell_angle_beta 90.00
_cell_angle_gamma 90.00
loop_
_atom_site_label
_atom_site_fract_x
_atom_site_fract_y
_atom_site_fract_z
Al1 0.139 0.361 0.000
In1 0.000 0.000 0.500
Ga1 0.156 0.656 0.500
# **Energy of formation**: 0.049 eV per atom

=====

Entry 5:
# CaPbC2 (PBEsol, optimized geometry)
data_CaPbC2
_chemical_formula_sum 'Ca4 Pb4 C8'
_symmetry_space_group_name_H-M 'I -4 2 d'
_symmetry_Int_Tables_number 122
_symmetry_space_group_name_Hall 'I -4 2bw'
_cell_length_a 6.391
_cell_length_b 6.391
_cell_length_c 6.592
_cell_angle_alpha 90.00
_cell_angle_beta 90.00
_cell_angle_gamma 90.00
loop_
_atom_site_label
_atom_site_fract_x
_atom_site_fract_y
_atom_site_fract_z
Ca1 0.000 0.000 0.000
Pb1 0.000 0.000 0.500
C1 0.218 0.750 0.625
# **Energy of formation**: 1.393 eV per atom

=====

Entry 6:
# LaMnMo2 (PBEsol, optimized geometry)
data_LaMnMo2
_chemical_formula_sum 'La1 Mn1 Mo2'
_symmetry_space_group_name_H-M 'P m m m'
_symmetry_Int_Tables_number 47
_cell_length_a 3.178
_cell_length_b 4.421
_cell_length_c 4.899
_cell_angle_alpha 90.00
_cell_angle_beta 90.00
_cell_angle_gamma 90.00
loop_
_symmetry_equiv_pos_as_xyz
'x,y,z'
'-x,-y,-z'
'-x,-y,z'
'x,y,-z'
'x,-y,-z'
'-x,y,z'
'-x,y,-z'
'x,-y,z'
loop_
_atom_site_label
_atom_site_fract_x
_atom_site_fract_y
_atom_site_fract_z
La1 0.000 0.000 0.000
Mn1 0.500 0.500 0.000
Mo1 0.000 0.500 0.500
Mo2 0.500 0.000 0.500
# **Energy of formation**: 0.703 eV per atom
# **Distance to the lowest polymorph of the same formula**: 204.3 meV per atom

=====

Entry 7:
# La4Bi2O9 (PBEsol, optimized geometry)
data_La4Bi2O9
_chemical_formula_sum 'La4 Bi2 O9'
_symmetry_space_group_name_H-M 'P 1'
_symmetry_Int_Tables_number 1
_cell_length_a 5.770
_cell_length_b 5.796
_cell_length_c 9.196
_cell_angle_alpha 72.07
_cell_angle_beta 84.80
_cell_angle_gamma 87.44
loop_
_symmetry_equiv_pos_as_xyz
'x,y,z'
loop_
_atom_site_label
_atom_site_fract_x
_atom_site_fract_y
_atom_site_fract_z
La1 0.000 0.000 0.000
La2 0.014 0.362 0.277
La3 0.045 0.684 0.640
La4 0.561 0.522 0.982
Bi1 0.467 0.897 0.257
Bi2 0.622 0.238 0.680
O1 0.178 0.986 0.426
O2 0.269 0.687 0.139
O3 0.289 0.195 0.099
O4 0.378 0.511 0.745
O5 0.761 0.183 0.158
O6 0.767 0.688 0.136
O7 0.828 0.346 0.826
O8 0.828 0.876 0.797
O9 0.857 0.453 0.503
# **DFT total energy**: -116.95 eV per formula unit

=====

Entry 8:
# CaTc2Mo (PBEsol, optimized geometry)
data_CaTc2Mo
_chemical_formula_sum 'Ca4 Tc8 Mo4'
_symmetry_space_group_name_H-M 'F -4 3 m'
_symmetry_Int_Tables_number 216
_symmetry_space_group_name_Hall 'F -4 2 3'
_cell_length_a 6.326
_cell_length_b 6.326
_cell_length_c 6.326
_cell_angle_alpha 90.00
_cell_angle_beta 90.00
_cell_angle_gamma 90.00
loop_
_atom_site_label
_atom_site_fract_x
_atom_site_fract_y
_atom_site_fract_z
Ca1 0.000 0.000 0.000
Tc1 0.000 0.000 0.500
Tc2 0.250 0.250 0.750
Mo1 0.250 0.250 0.250
# **Energy of formation**: 0.629 eV per atom
# **Distance to the lowest polymorph of the same formula**: 106.1 meV per atom

=====

Q: Which DOS(E_F) values were calculated for the entries above? A: 0.8504, 0.8392, 1.2262, 0.4241, 0.5826, 1.2579, 0.0000, 0.8576, in states/eV per atom.
Q: Which mass density values were calculated for the entries above? A: 10.69, 4.17, 6.96, 5.46, 6.69, 9.31, 6.37, 8.71, in g/cm3.
Q: Which magnetic moment values were calculated for the entries above? A: 0.00, 0.00, 0.00, 0.00, 0.00, 1.71, 0.00, 0.00, in Bohr magnetons per cell.